(1)
Density functional theory data (PBE) for a relaxed structure of CaGdAl.

abc: 3.5657 3.5657 7.3255
angles: 104.09 104.09 90.00
Closest atoms and distances in Å follow each position.
Positions (direct):
1 Ca 0.3071 0.3071 0.6143  4 Al 3.24, 4 Ca 3.57
2 Gd 0.5877 0.5877 0.1754  4 Al 3.11
3 Al 0.9552 0.9552 0.9103  4 Gd 3.11, 4 Ca 3.24

Offset from the most stable computed form = 0.000 eV/atom
Energy relative to the elements = -0.1781 eV/atom
D(E_F) = 2.0 states/eV/cell
Calculated total energy = -6.79 eV per atom
Total moment = 7.29 μB/f.u.

(2)
Density functional theory data (PBE) for a relaxed structure of CaGdAl2.

abc: 5.1873 5.1873 5.1873
angles: 60.00 60.00 60.00
Closest atoms and distances in Å follow each position.
Positions (direct):
1 Al 0.2500 0.2500 0.2500  4 Ca 3.18, 4 Gd 3.18
2 Al 0.7500 0.7500 0.7500  4 Ca 3.18, 4 Gd 3.18
3 Ca 0.0000 0.0000 0.0000  8 Al 3.18
4 Gd 0.5000 0.5000 0.5000  8 Al 3.18

Offset from the most stable computed form = 0.018 eV/atom
Energy relative to the elements = -0.2760 eV/atom
D(E_F) = 3.1 states/eV/cell
Calculated total energy = -6.17 eV per atom
Total moment = 7.15 μB/f.u.

Question: Among the records above, which one has the lowest calculated total energy?
Answer: CaGdAl